## ZrFeAs2 (PBE)

Data for ZrFeAs2 after structural relaxation.

The space group is F-43m (No. 216) and the conventional cell measures 6.4786, 6.4786 and 6.4786 Å, with angles of 90.00, 90.00 and 90.00 degrees. The inequivalent atoms are Zr at (0.0000, 0.0000, 0.0000), Fe at (0.2500, 0.2500, 0.2500), As at (0.0000, 0.0000, 0.5000) and As at (0.2500, 0.2500, 0.7500).

Its total energy is -105.0 eV/cell.

***

## GdGaAs (PBE)

Data for GdGaAs after structural relaxation.

The space group is F-43m (No. 216) and the conventional cell measures 6.8054, 6.8054 and 6.8054 Å, with angles of 90.00, 90.00 and 90.00 degrees. The inequivalent atoms are Gd at (0.0000, 0.0000, 0.0000), Ga at (0.2500, 0.2500, 0.2500) and As at (0.2500, 0.2500, 0.7500).

Its total energy is -53.6 eV/cell.

***

## GdGaAs (PBE)

Data for GdGaAs after structural relaxation.

The space group is F-43m (No. 216) and the conventional cell measures 6.6797, 6.6797 and 6.6797 Å, with angles of 90.00, 90.00 and 90.00 degrees. The inequivalent atoms are Gd at (0.0000, 0.0000, 0.0000), Ga at (0.2500, 0.2500, 0.7500) and As at (0.0000, 0.0000, 0.5000).

Its total energy is -53.2 eV/cell.

***

## GdGaAsO (PBE)

Data for GdGaAsO after structural relaxation.

The space group is Pmc2_1 (No. 26) and the conventional cell measures 4.6487, 6.0058 and 5.8514 Å, with angles of 90.00, 90.00 and 90.00 degrees. The inequivalent atoms are Gd at (0.0000, 0.2414, 0.0000), Ga at (0.5000, 0.1614, 0.6109), As at (0.0000, 0.2687, 0.5031) and O at (0.5000, 0.1627, 0.9719).

Its total energy is -46.0 eV/cell.

***

Which formula does entry 3 have?
GdGaAs